Density functional theory data (PBE-GGA) for K5Ac3Br12 after structural relaxation.

Cell lengths 16.231, 16.231, 16.231 Å; angles 109.47, 109.47, 109.47 degrees
Positions (direct):
Ac: 0.750 0.375 0.125
Ac: 0.875 0.750 0.125
Ac: 0.375 0.750 0.625
Ac: 0.250 0.125 0.375
Ac: 0.875 0.125 0.250
Ac: 0.375 0.625 0.250
Ac: 0.625 0.375 0.750
Ac: 0.125 0.875 0.750
Ac: 0.750 0.875 0.625
Ac: 0.625 0.250 0.375
Ac: 0.125 0.250 0.875
Ac: 0.250 0.625 0.875
K: 0.125 0.375 0.250
K: 0.000 0.500 0.000
K: 0.000 0.000 0.000
K: 0.375 0.250 0.125
K: 0.500 0.000 0.500
K: 0.500 0.500 0.000
K: 0.125 0.750 0.375
K: 0.750 0.125 0.875
K: 0.750 0.625 0.375
K: 0.375 0.125 0.750
K: 0.625 0.875 0.250
K: 0.500 0.500 0.500
K: 0.500 0.000 0.000
K: 0.000 0.000 0.500
K: 0.250 0.375 0.625
K: 0.250 0.875 0.125
K: 0.000 0.500 0.500
K: 0.875 0.250 0.625
K: 0.625 0.750 0.875
K: 0.875 0.625 0.750
Br: 0.734 0.128 0.064
Br: 0.330 0.564 0.436
Br: 0.936 0.372 0.266
Br: 0.564 0.234 0.128
Br: 0.606 0.734 0.670
Br: 0.936 0.564 0.170
Br: 0.330 0.766 0.394
Br: 0.064 0.894 0.128
Br: 0.564 0.936 0.670
Br: 0.734 0.606 0.170
Br: 0.766 0.436 0.372
Br: 0.830 0.936 0.064
Br: 0.128 0.734 0.564
Br: 0.372 0.436 0.106
Br: 0.106 0.936 0.372
Br: 0.394 0.128 0.564
Br: 0.106 0.170 0.234
Br: 0.436 0.670 0.064
Br: 0.830 0.894 0.266
Br: 0.128 0.394 0.064
Br: 0.372 0.936 0.766
Br: 0.564 0.628 0.394
Br: 0.936 0.830 0.564
Br: 0.766 0.330 0.894
Br: 0.436 0.372 0.606
Br: 0.064 0.170 0.436
Br: 0.234 0.670 0.106
Br: 0.170 0.106 0.734
Br: 0.628 0.064 0.234
Br: 0.872 0.606 0.936
Br: 0.564 0.330 0.936
Br: 0.606 0.872 0.436
Br: 0.894 0.830 0.766
Br: 0.894 0.064 0.628
Br: 0.872 0.266 0.436
Br: 0.170 0.064 0.936
Br: 0.628 0.564 0.894
Br: 0.436 0.064 0.330
Br: 0.266 0.394 0.830
Br: 0.234 0.564 0.628
Br: 0.936 0.106 0.872
Br: 0.670 0.234 0.606
Br: 0.436 0.766 0.872
Br: 0.064 0.436 0.830
Br: 0.394 0.266 0.330
Br: 0.064 0.628 0.734
Br: 0.670 0.436 0.564
Br: 0.266 0.872 0.936

Values from the calculation:
space group: No. 230
VASP energy: -0.2595 Ry/atom
DOS at the Fermi energy: 8.0 states/eV/f.u.



Density functional theory data (PBE-GGA) for Tl2InF11 after structural relaxation.

Cell lengths 8.233, 8.454, 8.454 Å; angles 73.79, 60.86, 60.86 degrees
Positions (direct):
Tl: 0.671 0.691 0.309
Tl: 0.329 0.309 0.691
Tl: 0.829 0.191 0.809
Tl: 0.171 0.809 0.191
In: 0.750 0.750 0.750
In: 0.250 0.250 0.250
F: 0.669 0.692 0.569
F: 0.331 0.308 0.431
F: 0.069 0.569 0.692
F: 0.831 0.931 0.808
F: 0.931 0.431 0.308
F: 0.169 0.069 0.192
F: 0.431 0.808 0.931
F: 0.569 0.192 0.069
F: 0.500 0.500 0.500
F: 0.000 0.000 0.000
F: 0.897 0.811 0.189
F: 0.103 0.189 0.811
F: 0.603 0.311 0.689
F: 0.397 0.689 0.311
F: 0.448 0.978 0.335
F: 0.552 0.022 0.665
F: 0.239 0.335 0.978
F: 0.052 0.165 0.522
F: 0.761 0.665 0.022
F: 0.948 0.835 0.478
F: 0.261 0.522 0.165
F: 0.739 0.478 0.835

Values from the calculation:
space group: No. 72
VASP energy: -0.2650 Ry/atom
DOS at the Fermi energy: 9.9 states/eV/f.u.



Density functional theory data (PBE-GGA) for RbHg2BiAu after structural relaxation.

Cell lengths 5.493, 5.493, 5.834 Å; angles 90.00, 90.00, 90.00 degrees
Positions (direct):
Au: 0.000 0.000 0.000
Bi: 0.000 0.000 0.500
Rb: 0.500 0.500 0.500
Hg: 0.000 0.500 0.000
Hg: 0.500 0.000 0.000

Values from the calculation:
space group: No. 123
VASP energy: -0.1319 Ry/atom
DOS at the Fermi energy: 4.2 states/eV/f.u.



Density functional theory data (PBE-GGA) for PuV2Mo after structural relaxation.

Cell lengths 3.054, 4.566, 4.566 Å; angles 90.00, 90.00, 90.00 degrees
Positions (direct):
Mo: 0.500 0.000 0.000
V: 0.000 0.000 0.500
V: 0.000 0.500 0.000
Pu: 0.500 0.500 0.500

Values from the calculation:
space group: No. 123
E above lowest polymorph: 99 meV per atom
DOS at the Fermi energy: 6.8 states/eV/f.u.



Density functional theory data (PBE-GGA) for Sc3Ga5S12 after structural relaxation.

Cell lengths 12.784, 12.784, 12.784 Å; angles 109.47, 109.47, 109.47 degrees
Positions (direct):
Sc: 0.750 0.375 0.125
Sc: 0.875 0.750 0.125
Sc: 0.375 0.750 0.625
Sc: 0.250 0.125 0.375
Sc: 0.875 0.125 0.250
Sc: 0.375 0.625 0.250
Sc: 0.625 0.375 0.750
Sc: 0.125 0.875 0.750
Sc: 0.750 0.875 0.625
Sc: 0.625 0.250 0.375
Sc: 0.125 0.250 0.875
Sc: 0.250 0.625 0.875
Ga: 0.125 0.375 0.250
Ga: 0.000 0.500 0.000
Ga: 0.000 0.000 0.000
Ga: 0.375 0.250 0.125
Ga: 0.500 0.000 0.500
Ga: 0.500 0.500 0.000
Ga: 0.125 0.750 0.375
Ga: 0.750 0.125 0.875
Ga: 0.750 0.625 0.375
Ga: 0.375 0.125 0.750
Ga: 0.625 0.875 0.250
Ga: 0.500 0.500 0.500
Ga: 0.500 0.000 0.000
Ga: 0.000 0.000 0.500
Ga: 0.250 0.375 0.625
Ga: 0.250 0.875 0.125
Ga: 0.000 0.500 0.500
Ga: 0.875 0.250 0.625
Ga: 0.625 0.750 0.875
Ga: 0.875 0.625 0.750
S: 0.715 0.129 0.039
S: 0.324 0.539 0.410
S: 0.961 0.371 0.285
S: 0.539 0.215 0.129
S: 0.586 0.715 0.676
S: 0.961 0.590 0.176
S: 0.324 0.785 0.414
S: 0.090 0.914 0.129
S: 0.590 0.961 0.676
S: 0.715 0.586 0.176
S: 0.785 0.461 0.371
S: 0.824 0.910 0.039
S: 0.129 0.715 0.539
S: 0.371 0.410 0.086
S: 0.086 0.910 0.371
S: 0.414 0.129 0.590
S: 0.086 0.176 0.215
S: 0.461 0.676 0.090
S: 0.824 0.914 0.285
S: 0.129 0.414 0.090
S: 0.371 0.961 0.785
S: 0.590 0.629 0.414
S: 0.910 0.824 0.539
S: 0.785 0.324 0.914
S: 0.410 0.371 0.586
S: 0.090 0.176 0.461
S: 0.215 0.676 0.086
S: 0.176 0.086 0.715
S: 0.629 0.039 0.215
S: 0.871 0.586 0.910
S: 0.539 0.324 0.910
S: 0.586 0.871 0.410
S: 0.914 0.824 0.785
S: 0.914 0.090 0.629
S: 0.871 0.285 0.461
S: 0.176 0.090 0.961
S: 0.629 0.590 0.914
S: 0.410 0.039 0.324
S: 0.285 0.414 0.824
S: 0.215 0.539 0.629
S: 0.910 0.086 0.871
S: 0.676 0.215 0.586
S: 0.461 0.785 0.871
S: 0.039 0.410 0.824
S: 0.414 0.285 0.324
S: 0.039 0.629 0.715
S: 0.676 0.461 0.590
S: 0.285 0.871 0.961

Values from the calculation:
space group: No. 230
VASP energy: -0.3812 Ry/atom



Density functional theory data (PBE-GGA) for Zn2Tc2Bi after structural relaxation.

Cell lengths 6.967, 6.967, 3.594 Å; angles 90.00, 90.00, 90.00 degrees
Positions (direct):
Zn: 0.158 0.658 0.500
Zn: 0.658 0.842 0.500
Zn: 0.842 0.342 0.500
Zn: 0.342 0.158 0.500
Bi: 0.000 0.000 0.000
Bi: 0.500 0.500 0.000
Tc: 0.368 0.868 0.000
Tc: 0.868 0.632 0.000
Tc: 0.632 0.132 0.000
Tc: 0.132 0.368 0.000

Values from the calculation:
space group: No. 127
VASP energy: -0.3697 Ry/atom
DOS at the Fermi energy: 6.8 states/eV/f.u.



Density functional theory data (PBE-GGA) for MnAg2Br after structural relaxation.

Cell lengths 3.322, 3.322, 7.525 Å; angles 90.00, 90.00, 90.00 degrees
Positions (direct):
Ag: 0.000 0.000 0.983
Ag: 0.500 0.500 0.193
Br: 0.000 0.000 0.555
Mn: 0.500 0.500 0.769

Values from the calculation:
space group: No. 99
E above lowest polymorph: 73 meV per atom
DOS at the Fermi energy: 1.5 states/eV/f.u.



Density functional theory data (PBE-GGA) for Th2TaC after structural relaxation.

Cell lengths 3.405, 3.405, 9.361 Å; angles 79.52, 79.52, 60.00 degrees
Positions (direct):
C: 0.500 0.500 0.500
Th: 0.110 0.110 0.671
Th: 0.890 0.890 0.329
Ta: 0.000 0.000 0.000

Values from the calculation:
space group: No. 166
VASP energy: -0.6224 Ry/atom
DOS at the Fermi energy: 4.5 states/eV/f.u.



Density functional theory data (PBE-GGA) for UP3H10ClO8 after structural relaxation.

Cell lengths 7.838, 10.219, 14.797 Å; angles 90.00, 90.00, 90.00 degrees
Positions (direct):
U: 0.203 0.432 0.750
U: 0.797 0.568 0.250
U: 0.203 0.068 0.250
U: 0.797 0.932 0.750
P: 0.644 0.284 0.750
P: 0.356 0.716 0.250
P: 0.644 0.216 0.250
P: 0.356 0.784 0.750
P: 0.122 0.125 0.886
P: 0.878 0.875 0.386
P: 0.122 0.375 0.114
P: 0.878 0.625 0.614
P: 0.878 0.875 0.114
P: 0.122 0.125 0.614
P: 0.878 0.625 0.886
P: 0.122 0.375 0.386
H: 0.722 0.342 0.674
H: 0.278 0.658 0.174
H: 0.722 0.158 0.326
H: 0.278 0.842 0.826
H: 0.278 0.658 0.326
H: 0.722 0.342 0.826
H: 0.278 0.842 0.674
H: 0.722 0.158 0.174
H: 0.290 0.075 0.885
H: 0.710 0.925 0.385
H: 0.290 0.425 0.115
H: 0.710 0.575 0.615
H: 0.710 0.925 0.115
H: 0.290 0.075 0.615
H: 0.710 0.575 0.885
H: 0.290 0.425 0.385
H: 0.080 0.135 0.979
H: 0.920 0.865 0.479
H: 0.080 0.365 0.021
H: 0.920 0.635 0.521
H: 0.920 0.865 0.021
H: 0.080 0.135 0.521
H: 0.920 0.635 0.979
H: 0.080 0.365 0.479
H: 0.378 0.559 0.927
H: 0.622 0.441 0.427
H: 0.378 0.941 0.073
H: 0.622 0.059 0.573
H: 0.622 0.441 0.073
H: 0.378 0.559 0.573
H: 0.622 0.059 0.927
H: 0.378 0.941 0.427
H: 0.413 0.404 0.933
H: 0.587 0.596 0.433
H: 0.413 0.096 0.067
H: 0.587 0.904 0.567
H: 0.587 0.596 0.067
H: 0.413 0.404 0.567
H: 0.587 0.904 0.933
H: 0.413 0.096 0.433
Cl: 0.552 0.250 0.000
Cl: 0.448 0.750 0.500
Cl: 0.448 0.750 0.000
Cl: 0.552 0.250 0.500
O: 0.455 0.319 0.750
O: 0.545 0.681 0.250
O: 0.455 0.181 0.250
O: 0.545 0.819 0.750
O: 0.685 0.138 0.750
O: 0.315 0.862 0.250
O: 0.685 0.362 0.250
O: 0.315 0.638 0.750
O: 0.122 0.262 0.846
O: 0.878 0.738 0.346
O: 0.122 0.238 0.154
O: 0.878 0.762 0.654
O: 0.878 0.738 0.154
O: 0.122 0.262 0.654
O: 0.878 0.762 0.846
O: 0.122 0.238 0.346
O: 0.004 0.024 0.844
O: 0.996 0.976 0.344
O: 0.004 0.476 0.156
O: 0.996 0.524 0.656
O: 0.996 0.976 0.156
O: 0.004 0.024 0.656
O: 0.996 0.524 0.844
O: 0.004 0.476 0.344
O: 0.347 0.473 0.902
O: 0.653 0.527 0.402
O: 0.347 0.027 0.098
O: 0.653 0.973 0.598
O: 0.653 0.527 0.098
O: 0.347 0.473 0.598
O: 0.653 0.973 0.902
O: 0.347 0.027 0.402

Values from the calculation:
space group: No. 57
VASP energy: -0.4225 Ry/atom
DOS at the Fermi energy: 4.7 states/eV/f.u.



Density functional theory data (PBE-GGA) for InAuI6 after structural relaxation.

Cell lengths 8.728, 10.418, 7.892 Å; angles 60.58, 58.56, 38.36 degrees
Positions (direct):
In: 0.500 0.500 0.500
Au: 0.000 0.000 0.000
I: 0.057 0.599 0.655
I: 0.668 0.131 0.860
I: 0.598 0.249 0.286
I: 0.332 0.869 0.140
I: 0.943 0.401 0.345
I: 0.402 0.751 0.714

Values from the calculation:
space group: No. 2
E above lowest polymorph: 26 meV per atom



Density functional theory data (PBE-GGA) for PaTiSe4 after structural relaxation.

Cell lengths 7.595, 6.224, 7.801 Å; angles 90.00, 120.26, 90.00 degrees
Positions (direct):
Pa: 0.000 0.000 0.000
Pa: 0.500 0.500 0.000
Ti: 0.500 0.000 0.500
Ti: 0.000 0.500 0.500
Se: 0.850 0.745 0.197
Se: 0.650 0.245 0.803
Se: 0.177 0.241 0.345
Se: 0.323 0.741 0.655
Se: 0.150 0.255 0.803
Se: 0.350 0.755 0.197
Se: 0.823 0.759 0.655
Se: 0.677 0.259 0.345

Values from the calculation:
space group: No. 14
E above lowest polymorph: 92 meV per atom
DOS at the Fermi energy: 3.0 states/eV/f.u.



Density functional theory data (PBE-GGA) for NaCaLa2 after structural relaxation.

Cell lengths 5.999, 5.999, 5.999 Å; angles 60.00, 60.00, 60.00 degrees
Positions (direct):
Na: 0.000 0.000 0.000
Ca: 0.500 0.500 0.500
La: 0.250 0.250 0.250
La: 0.750 0.750 0.750

Values from the calculation:
space group: No. 225
E above lowest polymorph: 0 meV per atom
DOS at the Fermi energy: 6.2 states/eV/f.u.



Number 1: volume 41.1 Å³ per atom. Number 2: volume 16.0 Å³ per atom. Number 3: volume 35.2 Å³ per atom. Number 4: volume 15.9 Å³ per atom. Number 5: volume 20.1 Å³ per atom. Number 6: volume 17.4 Å³ per atom. Number 7: volume 20.8 Å³ per atom. Number 8: volume 23.0 Å³ per atom. Number 9: volume 12.9 Å³ per atom. Number 10: volume 46.9 Å³ per atom. Number 11: volume 26.5 Å³ per atom. Number 12: volume 38.2 Å³ per atom.